[1]
Entry from the Alexandria database: YIn2TcO8 after structural relaxation (PBE).

Cell: 4.973 4.973 6.574 Å, 90.00 90.00 91.25°
Element x y z (fractional)
Y 0.000 0.000 0.000
In 0.500 0.500 0.251
In 0.500 0.500 0.749
Tc 0.000 0.000 0.500
O 0.183 0.817 0.293
O 0.183 0.817 0.707
O 0.284 0.284 0.500
O 0.309 0.309 0.000
O 0.691 0.691 0.000
O 0.716 0.716 0.500
O 0.817 0.183 0.293
O 0.817 0.183 0.707

Values from the calculation:
Electronic total energy = -6.931 eV/atom
Calculated density = 5.56 g cm⁻³
Total magnetic moment = 0.0000 μB per atom
Space group = Cmmm
Energy relative to the elements, uncorrected = -170.4 kJ per mole of atoms
Crystal system = orthorhombic


[2]
Entry from the Alexandria database: Nd2Mg5Ag4 after structural relaxation (PBE).

Cell: 10.231 9.498 5.667 Å, 80.56 66.32 33.12°
Element x y z (fractional)
Nd 0.125 0.125 0.875
Nd 0.875 0.875 0.125
Mg 0.000 0.000 0.500
Mg 0.250 0.250 0.250
Mg 0.500 0.500 0.000
Mg 0.500 0.500 0.500
Mg 0.750 0.750 0.750
Ag 0.213 0.526 0.474
Ag 0.474 0.787 0.213
Ag 0.526 0.213 0.787
Ag 0.787 0.474 0.526

Values from the calculation:
Electronic total energy = -2.796 eV/atom
Calculated density = 5.40 g cm⁻³
Total magnetic moment = 0.0000 μB per atom
Space group = Fmmm
Energy relative to the elements = -0.168 eV per atom
Crystal system = orthorhombic


[3]
Entry from the Alexandria database: Tc2AgSnSb after structural relaxation (PBE).

Cell: 5.123 5.123 4.957 Å, 90.00 90.00 90.00°
Element x y z (fractional)
Tc 0.000 0.500 0.000
Tc 0.500 0.000 0.000
Ag 0.000 0.000 0.000
Sn 0.000 0.000 0.500
Sb 0.500 0.500 0.500

Values from the calculation:
Electronic total energy = -4.712 eV/atom
Calculated density = 6.95 g cm⁻³
Total magnetic moment = 1.3345 μB per atom
Space group = P4/mmm
Energy relative to the elements, uncorrected = 157.2 kJ per mole of atoms
Crystal system = tetragonal


[4]
Entry from the Alexandria database: Th2SiI3 after structural relaxation (PBE).

Cell: 9.392 9.392 12.739 Å, 117.62 117.62 27.69°
Element x y z (fractional)
Th 0.091 0.091 0.448
Th 0.356 0.356 0.195
Th 0.644 0.644 0.805
Th 0.909 0.909 0.552
Si 0.083 0.083 0.661
Si 0.917 0.917 0.339
I 0.156 0.156 0.013
I 0.268 0.268 0.383
I 0.452 0.452 0.762
I 0.548 0.548 0.238
I 0.732 0.732 0.617
I 0.844 0.844 0.987

Values from the calculation:
Electronic total energy = -4.901 eV/atom
Calculated density = 6.32 g cm⁻³
Total magnetic moment = 0.0000 μB per atom
Space group = C2/m
Energy relative to the elements, uncorrected = -72.2 kJ per mole of atoms
Crystal system = monoclinic